[1]
LiYZr after structural relaxation, computed with PBE.

Geometry as CIF:
```
data_LiYZr
_chemical_formula_sum 'Li2 Y2 Zr2'
_cell_length_a 3.2779
_cell_length_b 6.6128
_cell_length_c 7.2621
_cell_angle_alpha 102.19
_cell_angle_beta 98.20
_cell_angle_gamma 102.50
_symmetry_space_group_name_H-M 'P -1'
_symmetry_Int_Tables_number 2
loop_
_symmetry_equiv_pos_as_xyz
'x,y,z'
'-x,-y,-z'
loop_
_atom_site_label
_atom_site_type_symbol
_atom_site_fract_x
_atom_site_fract_y
_atom_site_fract_z
Li1 Li 0.1982 0.3911 0.0968
Y1 Y 0.1338 0.2727 0.5653
Zr1 Zr 0.3814 0.0020 0.1793
```

- Total DFT energy (no corrections): -5.434 eV per atom
- ΔE_f: 0.2078 eV per atom
- Excess energy over the best structure of this formula in the dataset: 140 meV/atom

---

[2]
Ta2HSe after structural relaxation, computed with PBE.

Geometry as CIF:
```
data_Ta2HSe
_chemical_formula_sum 'Ta8 H4 Se4'
_cell_length_a 6.1378
_cell_length_b 6.1378
_cell_length_c 6.1378
_cell_angle_alpha 90.00
_cell_angle_beta 90.00
_cell_angle_gamma 90.00
_symmetry_space_group_name_H-M 'F m -3 m'
_symmetry_Int_Tables_number 225
_symmetry_space_group_name_Hall '-F 4 2 3'
loop_
_atom_site_label
_atom_site_type_symbol
_atom_site_fract_x
_atom_site_fract_y
_atom_site_fract_z
Ta1 Ta 0.2500 0.2500 0.2500
H1 H 0.0000 0.0000 0.0000
Se1 Se 0.0000 0.0000 0.5000
```

- Total DFT energy (no corrections): -7.091 eV per atom
- Excess energy over the best structure of this formula in the dataset: 322 meV/atom

---

[3]
Rb2SrRu after structural relaxation, computed with PBE.

Geometry as CIF:
```
data_Rb2SrRu
_chemical_formula_sum 'Rb8 Sr4 Ru4'
_cell_length_a 8.6901
_cell_length_b 8.6901
_cell_length_c 8.6901
_cell_angle_alpha 90.00
_cell_angle_beta 90.00
_cell_angle_gamma 90.00
_symmetry_space_group_name_H-M 'F m -3 m'
_symmetry_Int_Tables_number 225
_symmetry_space_group_name_Hall '-F 4 2 3'
loop_
_atom_site_label
_atom_site_type_symbol
_atom_site_fract_x
_atom_site_fract_y
_atom_site_fract_z
Rb1 Rb 0.2500 0.2500 0.2500
Sr1 Sr 0.0000 0.0000 0.0000
Ru1 Ru 0.0000 0.0000 0.5000
```

- Total DFT energy (no corrections): -2.047 eV per atom
- ΔE_f: 1.1759 eV per atom
- Excess energy over the best structure of this formula in the dataset: 0 meV/atom

---

[4]
CeAsO after structural relaxation, computed with PBE.

Geometry as CIF:
```
data_CeAsO
_chemical_formula_sum 'Ce2 As2 O2'
_cell_length_a 4.0508
_cell_length_b 4.0508
_cell_length_c 7.2504
_cell_angle_alpha 90.00
_cell_angle_beta 90.00
_cell_angle_gamma 90.00
_symmetry_space_group_name_H-M 'P 4/n m m'
_symmetry_Int_Tables_number 129
loop_
_symmetry_equiv_pos_as_xyz
'x,y,z'
'-x,-y,-z'
'-y+1/2,x,z'
'y+1/2,-x,-z'
'-x+1/2,-y+1/2,z'
'x+1/2,y+1/2,-z'
'y,-x+1/2,z'
'-y,x+1/2,-z'
'x+1/2,-y,-z'
'-x+1/2,y,z'
'-y,-x,-z'
'y,x,z'
'-x,y+1/2,-z'
'x,-y+1/2,z'
'y+1/2,x+1/2,-z'
'-y+1/2,-x+1/2,z'
loop_
_atom_site_label
_atom_site_type_symbol
_atom_site_fract_x
_atom_site_fract_y
_atom_site_fract_z
Ce1 Ce 0.2500 0.2500 0.1662
As1 As 0.2500 0.7500 0.5000
O1 O 0.2500 0.7500 0.0000
```

- Total DFT energy (no corrections): -7.452 eV per atom
- Formation energy (no corrections): -2.2711 eV per atom
- Excess energy over the best structure of this formula in the dataset: 20 meV/atom